DFT (PBE with a Hubbard U) results for a geometry-optimized V2AsO structure.

POSCAR file:
```
V2AsO
1.0
0.0000 2.9380 2.9380
2.9380 0.0000 2.9380
2.9380 2.9380 0.0000
V As O
2 1 1
Cartesian
4.4070 4.4070 4.4070
1.4690 1.4690 1.4690
2.9380 2.9380 2.9380
0.0000 0.0000 0.0000
```

Computed properties:
- Spin magnetization: 0.893 μB/cell
- Theoretical density: 6.31 g cm⁻³
- E: -5.81 eV per atom